Computed, not measured: a relaxed structure of Na2MgTc at the PBE level of DFT.

Energy   -2.6009 eV per atom
Total magnetic moment   2.8 μB/f.u.
D(E_F)   14.2 states/eV/cell
Energy of formation   1.0488 eV per atom

Cell and atoms, written as CIF:
```
data_Na2MgTc
_chemical_formula_sum 'Na8 Mg4 Tc4'
_cell_length_a 8.3436
_cell_length_b 8.3436
_cell_length_c 5.6836
_cell_angle_alpha 90.00
_cell_angle_beta 90.00
_cell_angle_gamma 90.00
_symmetry_space_group_name_H-M 'I -4 2 d'
_symmetry_Int_Tables_number 122
_symmetry_space_group_name_Hall 'I -4 2bw'
loop_
_atom_site_label
_atom_site_type_symbol
_atom_site_fract_x
_atom_site_fract_y
_atom_site_fract_z
Na1 Na 0.2438 0.2500 0.1250
Mg1 Mg 0.0000 0.0000 0.5000
Tc1 Tc 0.0000 0.0000 0.0000
```